(1)
Computed, not measured: a relaxed Ru3Pb crystal at the GGA-PBE level of DFT.

Summary:
* energy of formation from the pure elements: 0.518 eV per atom

Cell lengths 2.8798, 3.7906, 6.0226 Å; angles 90.00, 90.21, 90.00 degrees
Element x y z (fractional)
Ru: 0.0000 0.0000 0.0000
Ru: 0.4984 0.5000 0.7838
Ru: 0.5016 0.5000 0.2162
Pb: 0.0000 0.0000 0.5000


(2)
Computed, not measured: a relaxed RuPb4 crystal at the GGA-PBE level of DFT.

Summary:
* energy of formation from the pure elements: 0.286 eV per atom

Cell lengths 5.3205, 5.3205, 5.3205 Å; angles 90.00, 90.00, 90.00 degrees
Element x y z (fractional)
Ru: 0.0000 0.0000 0.0000
Pb: 0.0000 0.0000 0.5000
Pb: 0.0000 0.5000 0.0000
Pb: 0.5000 0.0000 0.0000
Pb: 0.5000 0.5000 0.5000


(3)
Computed, not measured: a relaxed RuPbS3 crystal at the GGA-PBE level of DFT.

Summary:
* offset from the most stable computed form: 0.0 meV/atom

Cell lengths 4.7139, 4.7139, 4.7139 Å; angles 90.00, 90.00, 90.00 degrees
Element x y z (fractional)
Ru: 0.0000 0.0000 0.0000
Pb: 0.5000 0.5000 0.5000
S: 0.0000 0.0000 0.5000
S: 0.0000 0.5000 0.0000
S: 0.5000 0.0000 0.0000


(4)
Computed, not measured: a relaxed RuPb3S crystal at the GGA-PBE level of DFT.

Summary:
* offset from the most stable computed form: 818.4 meV/atom

Cell lengths 5.4186, 5.4186, 5.4186 Å; angles 90.00, 90.00, 90.00 degrees
Element x y z (fractional)
Ru: 0.0000 0.0000 0.0000
Pb: 0.0000 0.5000 0.5000
Pb: 0.5000 0.0000 0.5000
Pb: 0.5000 0.5000 0.0000
S: 0.5000 0.5000 0.5000


(5)
Computed, not measured: a relaxed RuPb3S crystal at the GGA-PBE level of DFT.

Summary:
* offset from the most stable computed form: 0.0 meV/atom

Cell lengths 5.2137, 5.2137, 5.2137 Å; angles 90.00, 90.00, 90.00 degrees
Element x y z (fractional)
Ru: 0.0000 0.0000 0.0000
Pb: 0.0000 0.0000 0.5000
Pb: 0.0000 0.5000 0.0000
Pb: 0.5000 0.0000 0.0000
S: 0.5000 0.5000 0.5000


(6)
Computed, not measured: a relaxed RuPbS2 crystal at the GGA-PBE level of DFT.

Summary:
* DFT total energy: -44.1 eV per cell

Cell lengths 6.0603, 6.0603, 6.0603 Å; angles 107.68, 107.68, 113.11 degrees
Element x y z (fractional)
Ru: 0.0000 0.0000 0.0000
Ru: 0.7500 0.2500 0.5000
Pb: 0.2500 0.7500 0.5000
Pb: 0.5000 0.5000 0.0000
S: 0.0288 0.1250 0.4038
S: 0.3750 0.9712 0.0962
S: 0.7212 0.6250 0.5962
S: 0.8750 0.2788 0.9038


(7)
Computed, not measured: a relaxed RuPb2S crystal at the GGA-PBE level of DFT.

Summary:
* DFT total energy: -37.7 eV per cell

Cell lengths 7.5974, 7.5974, 7.5974 Å; angles 130.87, 130.87, 72.01 degrees
Element x y z (fractional)
Ru: 0.0000 0.0000 0.0000
Ru: 0.7500 0.2500 0.5000
Pb: 0.1018 0.6250 0.9768
Pb: 0.3750 0.3518 0.4768
Pb: 0.6482 0.1250 0.0232
Pb: 0.8750 0.8982 0.5232
S: 0.2500 0.7500 0.5000
S: 0.5000 0.5000 0.0000


(8)
Computed, not measured: a relaxed Ru3PbS crystal at the GGA-PBE level of DFT.

Summary:
* offset from the most stable computed form: 0.0 meV/atom

Cell lengths 4.4287, 4.4287, 4.4287 Å; angles 90.00, 90.00, 90.00 degrees
Element x y z (fractional)
Ru: 0.0000 0.0000 0.5000
Ru: 0.0000 0.5000 0.0000
Ru: 0.5000 0.0000 0.0000
Pb: 0.5000 0.5000 0.5000
S: 0.0000 0.0000 0.0000


(9)
Computed, not measured: a relaxed Ru3PbS crystal at the GGA-PBE level of DFT.

Summary:
* offset from the most stable computed form: 1889.8 meV/atom

Cell lengths 5.0406, 5.0406, 5.0406 Å; angles 90.00, 90.00, 90.00 degrees
Element x y z (fractional)
Ru: 0.0000 0.0000 0.5000
Ru: 0.0000 0.5000 0.0000
Ru: 0.5000 0.0000 0.0000
Pb: 0.0000 0.0000 0.0000
S: 0.5000 0.5000 0.5000


(10)
Computed, not measured: a relaxed RuPbS2 crystal at the GGA-PBE level of DFT.

Summary:
* DFT total energy: -19.3 eV per cell

Cell lengths 9.6955, 9.6955, 9.6955 Å; angles 18.59, 18.59, 18.59 degrees
Element x y z (fractional)
Ru: 0.0000 0.0000 0.0000
Pb: 0.5000 0.5000 0.5000
S: 0.0770 0.0770 0.0770
S: 0.9230 0.9230 0.9230


(11)
Computed, not measured: a relaxed RuPbS2 crystal at the GGA-PBE level of DFT.

Summary:
* DFT total energy: -22.2 eV per cell

Cell lengths 8.4823, 8.4823, 8.4823 Å; angles 24.13, 24.13, 24.13 degrees
Element x y z (fractional)
Ru: 0.0000 0.0000 0.0000
Pb: 0.5000 0.5000 0.5000
S: 0.3822 0.3822 0.3822
S: 0.6178 0.6178 0.6178


(12)
Computed, not measured: a relaxed SbRuPb2S crystal at the GGA-PBE level of DFT.

Summary:
* DFT total energy: -20.1 eV per cell

Cell lengths 5.4079, 5.4079, 5.1268 Å; angles 90.00, 90.00, 90.00 degrees
Element x y z (fractional)
Sb: 0.0000 0.0000 0.0000
Ru: 0.5000 0.5000 0.0000
Pb: 0.0000 0.5000 0.5000
Pb: 0.5000 0.0000 0.5000
S: 0.0000 0.0000 0.5000


(13)
Computed, not measured: a relaxed RuPb2SeS crystal at the GGA-PBE level of DFT.

Summary:
* DFT total energy: -19.8 eV per cell

Cell lengths 5.4362, 5.4362, 4.7613 Å; angles 90.00, 90.00, 90.00 degrees
Element x y z (fractional)
Ru: 0.0000 0.0000 0.0000
Pb: 0.0000 0.5000 0.5000
Pb: 0.5000 0.0000 0.5000
Se: 0.5000 0.5000 0.0000
S: 0.5000 0.5000 0.5000


(14)
Computed, not measured: a relaxed Te2RuPbS crystal at the GGA-PBE level of DFT.

Summary:
* offset from the most stable computed form: 539.6 meV/atom

Cell lengths 5.1928, 5.1928, 5.3906 Å; angles 90.00, 90.00, 90.00 degrees
Element x y z (fractional)
Te: 0.0000 0.5000 0.0000
Te: 0.5000 0.0000 0.0000
Ru: 0.0000 0.0000 0.5000
Pb: 0.5000 0.5000 0.5000
S: 0.5000 0.5000 0.0000


(15)
Computed, not measured: a relaxed Te2RuPbS crystal at the GGA-PBE level of DFT.

Summary:
* offset from the most stable computed form: 0.0 meV/atom

Cell lengths 5.5752, 5.5752, 4.3341 Å; angles 90.00, 90.00, 90.00 degrees
Element x y z (fractional)
Te: 0.0000 0.5000 0.0000
Te: 0.5000 0.0000 0.0000
Ru: 0.0000 0.0000 0.5000
Pb: 0.5000 0.5000 0.5000
S: 0.0000 0.0000 0.0000


(16)
Computed, not measured: a relaxed Th3RuPbS crystal at the GGA-PBE level of DFT.

Summary:
* DFT total energy: -86.5 eV per cell

Cell lengths 8.1765, 4.4049, 9.8942 Å; angles 90.00, 113.82, 90.00 degrees
Element x y z (fractional)
Th: 0.0228 0.2500 0.3485
Th: 0.2288 0.2500 0.9755
Th: 0.4249 0.7500 0.6387
Th: 0.5751 0.2500 0.3613
Th: 0.7712 0.7500 0.0245
Th: 0.9772 0.7500 0.6515
Ru: 0.3931 0.7500 0.9002
Ru: 0.6069 0.2500 0.0998
Pb: 0.2435 0.7500 0.2473
Pb: 0.7565 0.2500 0.7527
S: 0.2026 0.2500 0.6567
S: 0.7974 0.7500 0.3433


(17)
Computed, not measured: a relaxed TiRu2PbS crystal at the GGA-PBE level of DFT.

Summary:
* DFT total energy: -28.7 eV per cell

Cell lengths 4.5449, 4.5449, 5.4858 Å; angles 90.00, 90.00, 90.00 degrees
Element x y z (fractional)
Ti: 0.0000 0.0000 0.0000
Ru: 0.0000 0.5000 0.0000
Ru: 0.5000 0.0000 0.0000
Pb: 0.0000 0.0000 0.5000
S: 0.5000 0.5000 0.5000


(18)
Computed, not measured: a relaxed RuPbW2S crystal at the GGA-PBE level of DFT.

Summary:
* DFT total energy: -35.4 eV per cell

Cell lengths 4.8999, 4.8999, 4.3785 Å; angles 90.00, 90.00, 90.00 degrees
Element x y z (fractional)
Ru: 0.0000 0.0000 0.0000
Pb: 0.5000 0.5000 0.5000
W: 0.0000 0.5000 0.0000
W: 0.5000 0.0000 0.0000
S: 0.0000 0.0000 0.5000


(19)
Computed, not measured: a relaxed SbRuPb3 crystal at the GGA-PBE level of DFT.

Summary:
* offset from the most stable computed form: 0.0 meV/atom

Cell lengths 5.2879, 5.2879, 5.2879 Å; angles 90.00, 90.00, 90.00 degrees
Element x y z (fractional)
Sb: 0.0000 0.0000 0.0000
Ru: 0.5000 0.5000 0.5000
Pb: 0.0000 0.5000 0.5000
Pb: 0.5000 0.0000 0.5000
Pb: 0.5000 0.5000 0.0000


(20)
Computed, not measured: a relaxed Sb12Ru4Pb crystal at the GGA-PBE level of DFT.

Summary:
* DFT total energy: -92.7 eV per cell

Cell lengths 8.1549, 8.1549, 8.1549 Å; angles 109.47, 109.47, 109.47 degrees
Element x y z (fractional)
Sb: 0.1577 0.4974 0.3396
Sb: 0.1577 0.8181 0.6604
Sb: 0.1819 0.3396 0.8423
Sb: 0.3396 0.1577 0.4974
Sb: 0.3396 0.8423 0.1819
Sb: 0.4974 0.3396 0.1577
Sb: 0.5026 0.6604 0.8423
Sb: 0.6604 0.1577 0.8181
Sb: 0.6604 0.8423 0.5026
Sb: 0.8181 0.6604 0.1577
Sb: 0.8423 0.1819 0.3396
Sb: 0.8423 0.5026 0.6604
Ru: 0.0000 0.0000 0.5000
Ru: 0.0000 0.5000 0.0000
Ru: 0.5000 0.0000 0.0000
Ru: 0.5000 0.5000 0.5000
Pb: 0.0000 0.0000 0.0000